Entry 1:
# SmSc2Ga6 PBE relaxed
# Energy relative to the lowest polymorph listed for this composition (meV/atom): 50
data_SmSc2Ga6
_cell_length_a 4.1951
_cell_length_b 6.9318
_cell_length_c 12.7120
_cell_angle_alpha 90.00
_cell_angle_beta 90.00
_cell_angle_gamma 90.00
_symmetry_space_group_name_H-M 'I m m m'
_symmetry_Int_Tables_number 71
_symmetry_space_group_name_Hall '-I 2 2'
loop_
_atom_site_label
_atom_site_type_symbol
_atom_site_fract_x
_atom_site_fract_y
_atom_site_fract_z
Sm1 Sm 0.0000 0.0000 0.0000
Sc1 Sc 0.0000 0.5000 0.1220
Ga1 Ga 0.0000 0.1814 0.5000
Ga2 Ga 0.0000 0.3029 0.3101


Entry 2:
# Pr3Ga8Pt3 PBE relaxed
# Energy relative to the lowest polymorph listed for this composition (meV/atom): 24
data_Pr3Ga8Pt3
_cell_length_a 4.3377
_cell_length_b 10.0072
_cell_length_c 12.6007
_cell_angle_alpha 90.00
_cell_angle_beta 90.00
_cell_angle_gamma 90.00
_symmetry_space_group_name_H-M 'I m m m'
_symmetry_Int_Tables_number 71
_symmetry_space_group_name_Hall '-I 2 2'
loop_
_atom_site_label
_atom_site_type_symbol
_atom_site_fract_x
_atom_site_fract_y
_atom_site_fract_z
Pr1 Pr 0.0000 0.0000 0.0000
Pr2 Pr 0.0000 0.0000 0.3193
Ga1 Ga 0.0000 0.2812 0.1268
Ga2 Ga 0.0000 0.3690 0.3322
Pt1 Pt 0.0000 0.2196 0.5000
Pt2 Pt 0.0000 0.5000 0.0000


no.,energy (eV/cell)
1,-80.08
2,-134.59